Entry 1:
Computed, not measured: a geometry-optimized KGeN2O structure at the GGA-PBEsol level of DFT.

The calculation puts the volume at 61 Å³/cell. For the total energy, the calculation gives -26.85 eV/cell. As for the total magnetization: 2.97 μB/f.u.

It has space group P4/mmm (No. 123), with a = 3.955 Å, b = 3.955 Å, c = 3.885 Å, α = 90.00°, β = 90.00° and γ = 90.00°. Symmetry generates all atoms from K at (0.000, 0.000, 0.000), Ge at (0.500, 0.500, 0.500), N at (0.000, 0.500, 0.500) and O at (0.500, 0.500, 0.000).



Entry 2:
Computed, not measured: a geometry-optimized KTaGeN2 structure at the GGA-PBEsol level of DFT.

The calculation puts the volume at 80 Å³/cell. For the total energy, the calculation gives -23.77 eV/cell. As for the total magnetization: 2.24 μB/f.u.

It has space group P4/mmm (No. 123), with a = 4.064 Å, b = 4.064 Å, c = 4.869 Å, α = 90.00°, β = 90.00° and γ = 90.00°. Symmetry generates all atoms from K at (0.000, 0.000, 0.000), Ta at (0.500, 0.500, 0.000), Ge at (0.000, 0.000, 0.500) and N at (0.000, 0.500, 0.500).



Entry 3:
Computed, not measured: a geometry-optimized KGeTeN2 structure at the GGA-PBEsol level of DFT.

The calculation puts the volume at 98 Å³/cell. For the total energy, the calculation gives -21.38 eV/cell. As for the total magnetization: 2.98 μB/f.u.

It has space group P4/mmm (No. 123), with a = 4.237 Å, b = 4.237 Å, c = 5.453 Å, α = 90.00°, β = 90.00° and γ = 90.00°. Symmetry generates all atoms from K at (0.000, 0.000, 0.000), Ge at (0.500, 0.500, 0.500), Te at (0.500, 0.500, 0.000) and N at (0.000, 0.500, 0.500).